(1)
Here is a relaxed structure of Ta2HgRu from Alexandria. Energies are from GGA-PBE.

- crystal system = tetragonal
- ρ (g/cm³) = 15.30
- magnetic moment (μB per formula unit) = 0.0
- formation enthalpy at 0 K (eV per atom) = 0.049

```
Ta2HgRu
1.0
3.162 0.000 0.000
0.000 3.162 0.000
0.000 0.000 7.203
Ta Hg Ru
2 1 1
Direct
0.000 0.000 0.000 Ta
0.500 0.500 0.266 Ta
0.000 0.000 0.541 Hg
0.500 0.500 0.811 Ru
```

=====

(2)
Here is a relaxed structure of NdMnNi10 from Alexandria. Energies are from GGA-PBE.

- crystal system = orthorhombic
- ρ (g/cm³) = 8.19
- magnetic moment (μB per formula unit) = 8.4
- formation enthalpy at 0 K (eV per atom) = -0.061

```
NdMnNi10
1.0
3.998 0.000 0.000
0.000 4.787 0.000
0.000 0.000 8.333
Nd Mn Ni
1 1 10
Direct
0.000 0.000 0.000 Nd
0.000 0.500 0.500 Mn
0.000 0.000 0.346 Ni
0.000 0.000 0.654 Ni
0.000 0.500 0.189 Ni
0.000 0.500 0.811 Ni
0.500 0.000 0.500 Ni
0.500 0.253 0.259 Ni
0.500 0.253 0.741 Ni
0.500 0.500 0.000 Ni
0.500 0.747 0.259 Ni
0.500 0.747 0.741 Ni
```

=====

(3)
Here is a relaxed structure of Cs2Pa2TlO7 from Alexandria. Energies are from GGA-PBE.

- crystal system = tetragonal
- ρ (g/cm³) = 7.26
- magnetic moment (μB per formula unit) = 0.6
- energy relative to the elements, uncorrected (eV/atom) = -2.58

```
Cs2Pa2TlO7
1.0
-2.231 2.231 12.001
2.231 -2.231 12.001
2.231 2.231 -12.001
Cs Pa Tl O
2 2 1 7
Direct
0.191 0.191 0.000 Cs
0.809 0.809 0.000 Cs
0.409 0.409 0.000 Pa
0.591 0.591 0.000 Pa
0.000 0.000 0.000 Tl
0.090 0.590 0.500 O
0.325 0.325 0.000 O
0.410 0.910 0.500 O
0.500 0.500 0.000 O
0.590 0.090 0.500 O
0.675 0.675 0.000 O
0.910 0.410 0.500 O
```

=====

(4)
Here is a relaxed structure of KGdBi from Alexandria. Energies are from GGA-PBE.

- crystal system = tetragonal
- ρ (g/cm³) = 5.14
- magnetic moment (μB per formula unit) = 7.7
- formation enthalpy at 0 K (eV per atom) = -0.337

```
KGdBi
1.0
-2.170 2.170 6.948
2.170 -2.170 6.948
2.170 2.170 -6.948
K Gd Bi
1 1 1
Direct
0.000 0.000 0.000 K
0.270 0.270 0.000 Gd
0.717 0.717 0.000 Bi
```

=====

(5)
Here is a relaxed structure of ZrSbPd3 from Alexandria. Energies are from GGA-PBE.

- crystal system = orthorhombic
- ΔE to the lowest computed polymorph (eV/atom) = 0.000
- ρ (g/cm³) = 9.34
- magnetic moment (μB per formula unit) = 0.0
- energy relative to the elements, uncorrected (eV/atom) = -0.51

```
ZrSbPd3
1.0
4.415 0.000 0.000
0.000 5.456 0.000
0.000 0.000 7.858
Zr Sb Pd
2 2 6
Direct
0.250 0.250 0.071 Zr
0.750 0.750 0.929 Zr
0.250 0.750 0.341 Sb
0.750 0.250 0.659 Sb
0.250 0.250 0.440 Pd
0.250 0.507 0.775 Pd
0.250 0.993 0.775 Pd
0.750 0.007 0.225 Pd
0.750 0.493 0.225 Pd
0.750 0.750 0.560 Pd
```

=====

(6)
Here is a relaxed structure of LaNdMgSi from Alexandria. Energies are from GGA-PBE.

- crystal system = cubic
- ρ (g/cm³) = 5.29
- magnetic moment (μB per formula unit) = 0.0
- energy relative to the elements, uncorrected (eV/atom) = -0.29

```
LaNdMgSi
1.0
0.000 3.749 3.749
3.749 0.000 3.749
3.749 3.749 0.000
La Nd Mg Si
1 1 1 1
Direct
0.000 0.000 0.000 La
0.500 0.500 0.500 Nd
0.250 0.250 0.250 Mg
0.750 0.750 0.750 Si
```

=====

(7)
Here is a relaxed structure of Mg2ZnWS from Alexandria. Energies are from GGA-PBE.

- crystal system = tetragonal
- ρ (g/cm³) = 4.21
- magnetic moment (μB per formula unit) = 0.7
- energy relative to the elements, uncorrected (eV/atom) = 0.55

```
Mg2ZnWS
1.0
5.391 0.000 0.000
0.000 5.391 0.000
0.000 0.000 4.476
Mg Zn W S
2 1 1 1
Direct
0.000 0.500 0.000 Mg
0.500 0.000 0.000 Mg
0.000 0.000 0.500 Zn
0.500 0.500 0.000 W
0.500 0.500 0.500 S
```

=====

(8)
Here is a relaxed structure of KTaPb from Alexandria. Energies are from GGA-PBE.

- crystal system = orthorhombic
- ΔE to the lowest computed polymorph (eV/atom) = 0.191
- ρ (g/cm³) = 7.47
- magnetic moment (μB per formula unit) = 0.0
- formation enthalpy at 0 K (eV per atom) = 0.864

```
KTaPb
1.0
-1.551 2.335 6.555
1.551 -2.335 6.555
1.551 2.335 -6.555
K Ta Pb
1 1 1
Direct
0.000 0.000 0.000 K
0.282 0.282 0.000 Ta
0.719 0.719 0.000 Pb
```

=====

(9)
Here is a relaxed structure of ZnCd2Rh from Alexandria. Energies are from GGA-PBE.

- crystal system = orthorhombic
- ρ (g/cm³) = 9.16
- magnetic moment (μB per formula unit) = 0.0
- formation enthalpy at 0 K (eV per atom) = -0.137

```
ZnCd2Rh
1.0
3.116 0.000 0.000
0.000 3.192 0.000
0.000 0.000 7.161
Zn Cd Rh
1 2 1
Direct
0.000 0.000 0.000 Zn
0.000 0.000 0.426 Cd
0.500 0.500 0.737 Cd
0.500 0.500 0.175 Rh
```

=====

(10)
Here is a relaxed structure of AcLaEr from Alexandria. Energies are from GGA-PBE.

- crystal system = hexagonal
- ΔE to the lowest computed polymorph (eV/atom) = 0.012
- ρ (g/cm³) = 7.97
- magnetic moment (μB per formula unit) = 0.0
- formation enthalpy at 0 K (eV per atom) = 0.066

```
AcLaEr
1.0
5.891 0.000 0.000
-2.945 5.101 0.000
0.000 0.000 3.696
Ac La Er
1 1 1
Direct
0.000 0.000 0.000 Ac
0.667 0.333 0.500 La
0.333 0.667 0.500 Er
```

=====

(11)
Here is a relaxed structure of Er4Tl3Ag from Alexandria. Energies are from GGA-PBE.

- crystal system = tetragonal
- ΔE to the lowest computed polymorph (eV/atom) = 0.000
- ρ (g/cm³) = 11.13
- magnetic moment (μB per formula unit) = 0.2
- formation enthalpy at 0 K (eV per atom) = -0.324

```
Er4Tl3Ag
1.0
3.595 0.000 0.000
0.000 3.595 0.000
0.000 0.000 16.041
Er Tl Ag
4 3 1
Direct
0.000 0.000 0.112 Er
0.000 0.000 0.370 Er
0.000 0.000 0.630 Er
0.000 0.000 0.888 Er
0.500 0.500 0.240 Tl
0.500 0.500 0.500 Tl
0.500 0.500 0.760 Tl
0.500 0.500 0.000 Ag
```

=====

(12)
Here is a relaxed structure of Dy2AlTe from Alexandria. Energies are from GGA-PBE.

- crystal system = orthorhombic
- ΔE to the lowest computed polymorph (eV/atom) = 0.000
- ρ (g/cm³) = 7.33
- magnetic moment (μB per formula unit) = 0.0
- energy relative to the elements, uncorrected (eV/atom) = -0.90

```
Dy2AlTe
1.0
2.211 -11.739 0.000
2.211 11.739 0.000
0.000 0.000 4.186
Dy Al Te
4 2 2
Direct
0.063 0.937 0.750 Dy
0.332 0.668 0.750 Dy
0.668 0.332 0.250 Dy
0.937 0.063 0.250 Dy
0.463 0.537 0.750 Al
0.537 0.463 0.250 Al
0.195 0.805 0.750 Te
0.805 0.195 0.250 Te
```

=====

For reference, uncorrected energy by record: -8.27 -6.04 -7.39 -6.69 -6.16 -4.47 -3.76 -4.69 -2.75 -4.47 -3.85 -4.92 eV per atom.